## RbLi2MnO4 (GGA+U)

Data for a relaxed RbLi2MnO4 crystal.

Values from the calculation:
calculated total energy: -44.2 eV per formula unit

Lattice parameters (Å, degrees): 5.345 5.345 5.345 118.66 118.66 92.34
Fractional coordinates of all 8 atoms:
Rb  0.000  0.000  0.000
Li  0.250  0.750  0.500
Li  0.750  0.250  0.500
Mn  0.500  0.500  0.000
O  0.181  0.181  0.643
O  0.462  0.819  0.000
O  0.538  0.538  0.357
O  0.819  0.462  0.000